Record 1
A relaxed structure of Nb2IrRu5, computed with PBE-GGA.

Calculated values
crystal system = orthorhombic
DFT total energy = -154.1 eV per cell
magnetic moment = 0.000 Bohr magnetons per cell

a = 5.534 Å, b = 11.076 Å, c = 3.900 Å
α = 90.00°, β = 90.00°, γ = 90.00°
Space group Pbam (No. 55)
Symmetry-distinct sites (fractional):
Nb (0.248, 0.126, 0.000)
Ir (0.000, 0.500, 0.500)
Ru (0.000, 0.000, 0.500)
Ru (0.002, 0.252, 0.500)
Ru (0.248, 0.875, 0.000)

---

Record 2
A relaxed structure of Nb2Ir2Ru3, computed with PBE-GGA.

Calculated values
crystal system = cubic
DFT total energy = -258.9 eV per cell
magnetic moment = 0.000 Bohr magnetons per cell

a = 7.683 Å, b = 7.683 Å, c = 7.683 Å
α = 90.00°, β = 90.00°, γ = 90.00°
Space group I2_13 (No. 199)
Symmetry-distinct sites (fractional):
Nb (0.021, 0.021, 0.021)
Ir (0.166, 0.334, 0.666)
Ru (0.000, 0.250, 0.278)

---

Record 3
A relaxed structure of NbIr6Ru, computed with PBE-GGA.

Calculated values
crystal system = tetragonal
DFT total energy = -74.5 eV per cell
magnetic moment = 0.000 Bohr magnetons per cell

a = 5.516 Å, b = 5.516 Å, c = 3.892 Å
α = 90.00°, β = 90.00°, γ = 90.00°
Space group P4/mmm (No. 123)
Symmetry-distinct sites (fractional):
Nb (0.000, 0.000, 0.000)
Ir (0.000, 0.500, 0.000)
Ir (0.254, 0.254, 0.500)
Ru (0.500, 0.500, 0.000)

---

Record 4
A relaxed structure of Nb2Ir9Ru, computed with PBE-GGA.

Calculated values
crystal system = tetragonal
DFT total energy = -113.6 eV per cell
magnetic moment = 0.000 Bohr magnetons per cell

a = 3.905 Å, b = 3.905 Å, c = 11.732 Å
α = 90.00°, β = 90.00°, γ = 90.00°
Space group P4/mmm (No. 123)
Symmetry-distinct sites (fractional):
Nb (0.000, 0.000, 0.168)
Ir (0.000, 0.500, 0.000)
Ir (0.000, 0.500, 0.337)
Ir (0.500, 0.500, 0.168)
Ir (0.500, 0.500, 0.500)
Ru (0.000, 0.000, 0.500)

---

Record 5
A relaxed structure of Nb2IrRu4, computed with PBE-GGA.

Calculated values
crystal system = tetragonal
magnetic moment = 0.000 Bohr magnetons per cell
ΔE to the lowest computed polymorph = 0.231 eV per atom

a = 7.281 Å, b = 7.281 Å, c = 4.405 Å
α = 90.00°, β = 90.00°, γ = 90.00°
Space group P4_2/mnm (No. 136)
Symmetry-distinct sites (fractional):
Nb (0.200, 0.200, 0.000)
Ir (0.000, 0.000, 0.500)
Ru (0.081, 0.351, 0.500)

---

Record 6
A relaxed structure of Nb14IrRu, computed with PBE-GGA.

Calculated values
crystal system = orthorhombic
DFT total energy = -323.5 eV per cell
magnetic moment = 0.000 Bohr magnetons per cell

a = 6.547 Å, b = 9.340 Å, c = 9.232 Å
α = 90.00°, β = 90.00°, γ = 90.00°
Space group Cmmm (No. 65)
Symmetry-distinct sites (fractional):
Nb (0.000, 0.000, 0.000)
Nb (0.000, 0.249, 0.254)
Nb (0.000, 0.500, 0.000)
Nb (0.248, 0.500, 0.258)
Nb (0.250, 0.250, 0.000)
Nb (0.250, 0.250, 0.500)
Ir (0.000, 0.000, 0.500)
Ru (0.000, 0.500, 0.500)

---

Record 7
A relaxed structure of Nb3Ir2Ru, computed with PBE-GGA.

Calculated values
crystal system = orthorhombic
DFT total energy = -119.2 eV per cell
magnetic moment = 0.000 Bohr magnetons per cell

a = 4.113 Å, b = 12.338 Å, c = 3.816 Å
α = 90.00°, β = 90.00°, γ = 90.00°
Space group Cmmm (No. 65)
Symmetry-distinct sites (fractional):
Nb (0.000, 0.000, 0.000)
Nb (0.000, 0.334, 0.000)
Ir (0.000, 0.168, 0.500)
Ru (0.000, 0.500, 0.500)

---

Record 8
A relaxed structure of Nb11Ir4Ru9, computed with PBE-GGA.

Calculated values
crystal system = orthorhombic
DFT total energy = -472.5 eV per cell
magnetic moment = 0.000 Bohr magnetons per cell

a = 13.599 Å, b = 18.692 Å, c = 3.055 Å
α = 90.00°, β = 90.00°, γ = 90.00°
Space group Cmmm (No. 65)
Symmetry-distinct sites (fractional):
Nb (0.000, 0.000, 0.000)
Nb (0.000, 0.192, 0.000)
Nb (0.000, 0.379, 0.000)
Nb (0.198, 0.000, 0.000)
Nb (0.241, 0.173, 0.000)
Ir (0.168, 0.425, 0.500)
Ru (0.000, 0.500, 0.500)
Ru (0.109, 0.105, 0.500)
Ru (0.111, 0.276, 0.500)

---

Record 9
A relaxed structure of Nb2Ir3Ru4, computed with PBE-GGA.

Calculated values
crystal system = triclinic
DFT total energy = -169.1 eV per cell
magnetic moment = 0.000 Bohr magnetons per cell

a = 2.763 Å, b = 10.593 Å, c = 10.765 Å
α = 62.67°, β = 82.76°, γ = 84.63°
Space group P-1 (No. 2)
Symmetry-distinct sites (fractional):
Nb (0.118, 0.349, 0.015)
Nb (0.293, 0.391, 0.675)
Ir (0.097, 0.666, 0.540)
Ir (0.232, 0.131, 0.941)
Ir (0.474, 0.432, 0.210)
Ru (0.018, 0.179, 0.317)
Ru (0.162, 0.845, 0.279)
Ru (0.373, 0.912, 0.833)
Ru (0.446, 0.083, 0.557)

---

Record 10
A relaxed structure of NbIr2Ru, computed with PBE-GGA.

Calculated values
crystal system = cubic
magnetic moment = 7.762 Bohr magnetons per cell
ΔE to the lowest computed polymorph = 0.610 eV per atom

a = 6.307 Å, b = 6.307 Å, c = 6.307 Å
α = 90.00°, β = 90.00°, γ = 90.00°
Space group Fm-3m (No. 225)
Symmetry-distinct sites (fractional):
Nb (0.000, 0.000, 0.000)
Ir (0.250, 0.250, 0.250)
Ru (0.000, 0.000, 0.500)

---

Record 11
A relaxed structure of Nb6IrRu5, computed with PBE-GGA.

Calculated values
crystal system = monoclinic
DFT total energy = -237.3 eV per cell
magnetic moment = 0.000 Bohr magnetons per cell

a = 13.819 Å, b = 6.117 Å, c = 4.658 Å
α = 90.00°, β = 100.51°, γ = 90.00°
Space group C2/m (No. 12)
Symmetry-distinct sites (fractional):
Nb (0.000, 0.249, 0.000)
Nb (0.163, 0.248, 0.704)
Ir (0.000, 0.500, 0.500)
Ru (0.000, 0.000, 0.500)
Ru (0.173, 0.500, 0.214)
Ru (0.175, 0.000, 0.211)

---

Record 12
A relaxed structure of NbIrRu3, computed with PBE-GGA.

Calculated values
crystal system = cubic
magnetic moment = 0.000 Bohr magnetons per cell
ΔE to the lowest computed polymorph = 0.624 eV per atom

a = 4.632 Å, b = 4.632 Å, c = 4.632 Å
α = 90.00°, β = 90.00°, γ = 90.00°
Space group Pm-3m (No. 221)
Symmetry-distinct sites (fractional):
Nb (0.000, 0.000, 0.000)
Ir (0.500, 0.500, 0.500)
Ru (0.000, 0.500, 0.500)